No. 1
7
Lattice="3.539 0.000 0.470 0.000 3.593 0.000 -0.377 0.000 16.411" Properties=species:S:1:pos:R:3 comment="PBE-GGA Nd2Dy2Tl3, relaxed" ef_ev_per_atom=-0.235 sg="No. 65" de_polymorph_mev_per_atom=17 crystal_system=orthorhombic pbc="T T T"
Tl 0.222 0.000 11.899
Dy 2.263 1.797 10.088
Nd 1.692 1.797 14.393
Tl 0.000 0.000 0.000
Dy 0.899 1.797 6.793
Nd 1.471 1.797 2.488
Tl 2.941 0.000 4.982

=====

No. 2
16
Lattice="-5.004 4.650 -0.388 -0.890 -0.279 8.140 4.332 5.060 4.771" Properties=species:S:1:pos:R:3 comment="PBE-GGA Li3Sm2Ag3, relaxed" ef_ev_per_atom=-0.076 sg="No. 193" crystal_system=hexagonal pbc="T T T"
Li -1.472 1.093 1.920
Li -0.715 7.224 5.315
Ag -4.094 3.380 2.831
Sm -0.207 5.512 8.413
Ag -2.640 5.256 6.557
Sm -1.355 3.918 4.110
Ag 0.411 3.103 1.733
Ag 1.078 4.175 5.966
Ag -1.800 0.990 4.921
Sm 1.147 1.594 4.304
Li -2.679 4.741 0.891
Li -4.422 3.277 5.832
Li 2.008 4.968 3.491
Li -0.847 2.206 7.208
Sm 2.294 3.187 8.607
Ag -1.973 6.327 10.790

=====

No. 3
3
Lattice="2.711 0.000 0.000 -1.356 2.348 0.000 0.000 0.000 6.324" Properties=species:S:1:pos:R:3 comment="PBE-GGA CuSi2, relaxed" sg="No. 164" raw_formation_energy_ev_per_atom=0.290 crystal_system=trigonal pbc="T T T"
Si 0.000 1.565 2.076
Cu 0.000 0.000 0.000
Si 1.356 0.783 4.248

=====

For the records above, the corresponding total moment values read 0.7; 0.0; 0.0 Bohr magnetons per cell.
For the records above, the corresponding final energy values read -3.926; -3.043; -4.691 eV/atom.